Computed, not measured: KNaCoRe after structural relaxation at the PBE-GGA level of DFT.

abc: 7.0844 7.0844 7.0844
angles: 90.00 90.00 90.00
Closest atoms and distances in Å follow each position.
Space group F-43m (No. 216)
One atom of each set of equivalent atoms:
K (0.0000, 0.0000, 0.0000) [4 per cell]  4 Co 3.07, 4 Re 3.07
Na (0.0000, 0.0000, 0.5000) [4 per cell]  4 Co 3.07, 4 Re 3.07
Co (0.2500, 0.2500, 0.2500) [4 per cell]  4 K 3.07, 4 Na 3.07
Re (0.2500, 0.2500, 0.7500) [4 per cell]  4 K 3.07, 4 Na 3.07


Computed, not measured: KNaCoRe after structural relaxation at the PBE-GGA level of DFT.

abc: 6.5574 6.5574 6.5574
angles: 90.00 90.00 90.00
Closest atoms and distances in Å follow each position.
Space group F-43m (No. 216)
One atom of each set of equivalent atoms:
K (0.0000, 0.0000, 0.0000) [4 per cell]  4 Na 2.84, 4 Re 2.84
Na (0.2500, 0.2500, 0.2500) [4 per cell]  4 Co 2.84, 4 K 2.84
Co (0.0000, 0.0000, 0.5000) [4 per cell]  4 Re 2.84, 4 Na 2.84
Re (0.2500, 0.2500, 0.7500) [4 per cell]  4 K 2.84, 4 Co 2.84


Here are the calculated magnetization numbers, same order: 3.005 0.140 (μB/f.u.).
Here are the calculated energy above the most stable polymorph in this dataset numbers, same order: 533.5 0.0 (meV/atom).